Run P
A relaxed Mn2TlHg crystal, computed with PBE.

abc: 9.048 9.048 9.048
angles: 20.74 20.74 20.74
Each line ends with the local moment (μB).
Element x y z (fractional)
Mn 0.997 0.997 0.997  3.86
Mn 0.503 0.503 0.503  3.86
Tl 0.750 0.750 0.750  -0.01
Hg 0.250 0.250 0.250  -0.07

Values from the calculation:
space-group type: R-3m, No. 166
M_tot: 7.9 μB per formula unit


Run Q
A relaxed Mn2TlHg crystal, computed with PBE.

abc: 4.954 4.954 4.954
angles: 126.75 126.67 78.73
Each line ends with the local moment (μB).
Element x y z (fractional)
Mn 0.500 0.500 0.000  3.65
Mn 0.000 0.000 0.000  3.65
Hg 0.250 0.750 0.500  -0.06
Tl 0.750 0.250 0.500  -0.08

Values from the calculation:
space-group type: I4/mmm, No. 139
M_tot: 7.4 μB per formula unit


Stability ranking, top and bottom: run Q is the most stable and run P is the least stable.


Run P
A relaxed MnV3Hg crystal, computed with PBE.

abc: 4.347 4.347 4.347
angles: 90.00 90.00 90.00
Element x y z (fractional)
V 0.000 0.000 0.500
V 0.500 0.000 0.000
V 0.000 0.500 0.000
Mn 0.000 0.000 0.000
Hg 0.500 0.500 0.500

Values from the calculation:
space-group type: Pm-3m, No. 221
M_tot: 0.0 μB per formula unit


Run Q
A relaxed MnV3Hg crystal, computed with PBE.

abc: 5.034 5.034 5.034
angles: 90.00 90.00 90.00
Each line ends with the local moment (μB).
Element x y z (fractional)
Mn 0.500 0.500 0.500  4.35
V 0.500 0.000 0.000  2.46
V 0.000 0.000 0.500  2.46
V 0.000 0.500 0.000  2.46
Hg 0.000 0.000 0.000  0.12

Values from the calculation:
space-group type: Pm-3m, No. 221
M_tot: 13.7 μB per formula unit


Stability ranking, top and bottom: run P is the most stable and run Q is the least stable.


Run P
A relaxed MnHg2W crystal, computed with PBE.

abc: 9.569 9.569 9.569
angles: 18.00 18.00 18.00
Each line ends with the local moment (μB).
Element x y z (fractional)
Hg 0.502 0.502 0.502  -0.03
Hg 0.998 0.998 0.998  -0.03
W 0.750 0.750 0.750  -0.10
Mn 0.250 0.250 0.250  3.71

Values from the calculation:
space-group type: R-3m, No. 166
M_tot: 3.7 μB per formula unit


Run Q
A relaxed MnHg2W crystal, computed with PBE.

abc: 4.229 2.886 6.549
angles: 63.96 90.00 90.00
Each line ends with the local moment (μB).
Element x y z (fractional)
Hg 0.000 0.502 0.497  -0.04
Hg 0.000 0.998 0.003  -0.04
Mn 0.500 0.250 0.250  3.58
W 0.500 0.750 0.750  -0.49

Values from the calculation:
space-group type: P2/m, No. 10
M_tot: 3.0 μB per formula unit


Run R
A relaxed MnHg2W crystal, computed with PBE.

abc: 6.542 5.198 2.861
angles: 89.98 64.11 120.61
Each line ends with the local moment (μB).
Element x y z (fractional)
Mn 0.000 0.500 0.500  3.66
W 0.500 0.500 0.000  -0.10
Hg 0.000 0.000 0.000  -0.01
Hg 0.500 0.000 0.500  -0.01

Values from the calculation:
space-group type: Cmmm, No. 65
M_tot: 3.7 μB per formula unit


Run S
A relaxed MnHg2W crystal, computed with PBE.

abc: 5.040 5.040 5.235
angles: 79.83 79.83 33.80
Each line ends with the local moment (μB).
Element x y z (fractional)
W 0.250 0.250 0.250  -0.58
Hg 0.003 0.003 0.998  -0.04
Hg 0.497 0.497 0.502  -0.04
Mn 0.750 0.750 0.750  3.52

Values from the calculation:
space-group type: C2/m, No. 12
M_tot: 2.9 μB per formula unit


Stability ranking, top and bottom: run P is the most stable and run S is the least stable.


Run P
A relaxed MnHg2W crystal, computed with PBE.

abc: 4.572 4.572 4.572
angles: 60.00 60.00 60.00
Element x y z (fractional)
W 0.500 0.500 0.500
Hg 0.250 0.250 0.250
Hg 0.750 0.750 0.750
Mn 0.000 0.000 0.000

Values from the calculation:
space-group type: Fm-3m, No. 225
M_tot: 0.0 μB per formula unit


Run Q
A relaxed MnHg2W crystal, computed with PBE.

abc: 4.672 4.672 4.672
angles: 60.00 60.00 60.00
Each line ends with the local moment (μB).
Element x y z (fractional)
Mn 0.500 0.500 0.500  3.21
W 0.250 0.250 0.250  -1.26
Hg 0.000 0.000 0.000  -0.01
Hg 0.750 0.750 0.750  0.01

Values from the calculation:
space-group type: F-43m, No. 216
M_tot: 1.9 μB per formula unit


Run R
A relaxed MnHg2W crystal, computed with PBE.

abc: 5.747 5.747 5.747
angles: 150.14 128.89 60.33
Each line ends with the local moment (μB).
Element x y z (fractional)
Hg 0.012 0.012 0.000  -0.03
Hg 0.732 0.232 0.500  0.00
W 0.280 0.780 0.500  -0.46
Mn 0.476 0.476 0.000  2.67

Values from the calculation:
space-group type: Imm2, No. 44
M_tot: 2.2 μB per formula unit


Stability ranking, top and bottom: run R is the most stable and run P is the least stable.


Run P
A relaxed MnHg2W crystal, computed with PBE.

abc: 2.983 2.994 8.428
angles: 76.35 90.00 90.00
Element x y z (fractional)
W 0.500 0.855 0.695
Mn 0.000 0.416 0.540
Hg 0.000 0.139 0.971
Hg 0.500 0.090 0.294

Values from the calculation:
space-group type: Pm, No. 6
M_tot: 0.0 μB per formula unit


Run Q
A relaxed MnHg2W crystal, computed with PBE.

abc: 4.133 4.177 4.177
angles: 90.00 90.00 90.00
Each line ends with the local moment (μB).
Element x y z (fractional)
Mn 0.500 0.500 0.000  3.74
Hg 0.000 0.500 0.500  0.02
Hg 0.000 0.000 0.000  0.02
W 0.500 0.000 0.500  -0.11

Values from the calculation:
space-group type: P4/mmm, No. 123
M_tot: 3.9 μB per formula unit


Stability ranking, top and bottom: run P is the most stable and run Q is the least stable.


Run P
A relaxed YMnHg3 crystal, computed with PBE.

abc: 5.771 5.771 5.771
angles: 90.00 90.00 90.00
Each line ends with the local moment (μB).
Element x y z (fractional)
Y 0.000 0.000 0.000  -0.15
Mn 0.500 0.500 0.500  4.49
Hg 0.000 0.500 0.000  -0.03
Hg 0.000 0.000 0.500  -0.02
Hg 0.500 0.000 0.000  -0.02

Values from the calculation:
space-group type: Pm-3m, No. 221
M_tot: 4.4 μB per formula unit


Run Q
A relaxed YMnHg3 crystal, computed with PBE.

abc: 5.050 5.050 5.050
angles: 90.00 90.00 90.00
Each line ends with the local moment (μB).
Element x y z (fractional)
Hg 0.000 0.000 0.500  -0.01
Hg 0.000 0.500 0.000  -0.01
Hg 0.500 0.000 0.000  -0.06
Mn 0.000 0.000 0.000  3.17
Y 0.500 0.500 0.500  -0.22

Values from the calculation:
space-group type: Pm-3m, No. 221
M_tot: 2.6 μB per formula unit


Stability ranking, top and bottom: run Q is the most stable and run P is the least stable.